1:
The following is a GGA-PBE calculation of a geometry-optimized Y2TmCd structure, from the Alexandria database.

a b c (Å): 3.586 3.586 9.022
angles (deg): 90.00 90.00 90.00
Space group P4/mmm (No. 123)
Inequivalent atoms, fractional coordinates:
Y1 0.000 0.000 0.229 (multiplicity 2)
Tm1 0.500 0.500 0.500 (multiplicity 1)
Cd1 0.500 0.500 0.000 (multiplicity 1)

## Properties
DOS at the Fermi energy in states/eV/atom: 1.346

***

2:
The following is a GGA-PBE calculation of a geometry-optimized Y2TmCd structure, from the Alexandria database.

a b c (Å): 5.345 5.345 4.015
angles (deg): 90.00 90.00 90.00
Space group P4/mmm (No. 123)
Inequivalent atoms, fractional coordinates:
Y1 0.000 0.500 0.000 (multiplicity 2)
Tm1 0.000 0.000 0.500 (multiplicity 1)
Cd1 0.500 0.500 0.500 (multiplicity 1)

## Properties
DOS at the Fermi energy in states/eV/atom: 1.420

***

3:
The following is a GGA-PBE calculation of a geometry-optimized Y2TmCd structure, from the Alexandria database.

a b c (Å): 3.6115 3.6115 31.9458
angles (deg): 90.00 90.00 120.00
Space group R3m (No. 160, hexagonal axes)
Inequivalent atoms, fractional coordinates:
Y1 0.0000 0.0000 0.0000 (multiplicity 3)
Y2 0.0000 0.0000 0.1770 (multiplicity 3)
Tm1 0.0000 0.0000 0.7552 (multiplicity 3)
Cd1 0.0000 0.0000 0.5887 (multiplicity 3)

## Properties
DOS at the Fermi energy in states/eV/atom: 1.346

***

4:
The following is a GGA-PBE calculation of a geometry-optimized Y2TmCd structure, from the Alexandria database.

a b c (Å): 7.690 7.690 7.690
angles (deg): 90.00 90.00 90.00
Space group Fm-3m (No. 225)
Inequivalent atoms, fractional coordinates:
Y1 0.250 0.250 0.250 (multiplicity 8)
Tm1 0.000 0.000 0.000 (multiplicity 4)
Cd1 0.000 0.000 0.500 (multiplicity 4)

## Properties
DOS at the Fermi energy in states/eV/atom: 1.396

***

Energies, relative to the best one, in kJ/mol of atoms: 1 0.0; 2 7.8; 3 6.8; 4 11.2.

***

1:
The following is a GGA-PBE calculation of a geometry-optimized Y2Tm3Cd2 structure, from the Alexandria database.

a b c (Å): 5.075 22.550 3.430
angles (deg): 90.00 90.00 90.00
Space group Cmmm (No. 65)
Inequivalent atoms, fractional coordinates:
Y1 0.000 0.210 0.000 (multiplicity 4)
Tm1 0.000 0.354 0.500 (multiplicity 4)
Tm2 0.000 0.500 0.500 (multiplicity 2)
Cd1 0.000 0.068 0.000 (multiplicity 4)

## Properties
DOS at the Fermi energy in states/eV/atom: 0.878

***

2:
The following is a GGA-PBE calculation of a geometry-optimized Y2Tm3Cd2 structure, from the Alexandria database.

a b c (Å): 5.3336 5.3336 23.7396
angles (deg): 90.00 90.00 120.00
Space group R-3m (No. 166, hexagonal axes)
Inequivalent atoms, fractional coordinates:
Y1 0.0000 0.0000 0.0752 (multiplicity 6)
Tm1 0.0000 0.0000 0.3442 (multiplicity 6)
Tm2 0.0000 0.0000 0.5000 (multiplicity 3)
Cd1 0.0000 0.0000 0.2126 (multiplicity 6)

## Properties
DOS at the Fermi energy in states/eV/atom: 1.169

***

Energies, relative to the best one, in kJ/mol of atoms: 1 12.0; 2 0.0.

***

1:
The following is a GGA-PBE calculation of a geometry-optimized YTm2Cd2 structure, from the Alexandria database.

a b c (Å): 5.1489 5.1489 6.3185
angles (deg): 90.00 90.00 120.00
Space group P-3m1 (No. 164)
Inequivalent atoms, fractional coordinates:
Y1 0.0000 0.0000 0.0000 (multiplicity 1)
Tm1 0.3333 0.6667 0.6507 (multiplicity 2)
Cd1 0.3333 0.6667 0.1599 (multiplicity 2)

## Properties
DOS at the Fermi energy in states/eV/atom: 1.138

***

2:
The following is a GGA-PBE calculation of a geometry-optimized YTm2Cd2 structure, from the Alexandria database.

a b c (Å): 3.694 5.299 13.747
angles (deg): 90.00 97.74 90.00
Space group P2_1/m (No. 11)
Inequivalent atoms, fractional coordinates:
Y1 0.149 0.250 0.297 (multiplicity 2)
Tm1 0.046 0.750 0.092 (multiplicity 2)
Tm2 0.236 0.750 0.473 (multiplicity 2)
Cd1 0.358 0.250 0.717 (multiplicity 2)
Cd2 0.450 0.750 0.901 (multiplicity 2)

## Properties
DOS at the Fermi energy in states/eV/atom: 0.884

***

Energies, relative to the best one, in kJ/mol of atoms: 1 19.4; 2 0.0.

***

1:
The following is a GGA-PBE calculation of a geometry-optimized Y8Tm2Cd structure, from the Alexandria database.

a b c (Å): 18.443 6.817 5.679
angles (deg): 90.00 91.72 90.00
Space group C2/m (No. 12)
Inequivalent atoms, fractional coordinates:
Y1 0.049 0.000 0.235 (multiplicity 4)
Y2 0.128 0.237 0.746 (multiplicity 8)
Y3 0.178 0.500 0.235 (multiplicity 4)
Tm1 0.219 0.000 0.259 (multiplicity 4)
Cd1 0.000 0.500 0.000 (multiplicity 2)

## Properties
DOS at the Fermi energy in states/eV/atom: 1.658

***

2:
The following is a GGA-PBE calculation of a geometry-optimized Y8Tm2Cd structure, from the Alexandria database.

a b c (Å): 19.334 5.561 6.403
angles (deg): 90.00 94.89 90.00
Space group C2/m (No. 12)
Inequivalent atoms, fractional coordinates:
Y1 0.045 0.000 0.262 (multiplicity 4)
Y2 0.079 0.500 0.600 (multiplicity 4)
Y3 0.155 0.000 0.801 (multiplicity 4)
Y4 0.161 0.500 0.125 (multiplicity 4)
Tm1 0.243 0.000 0.336 (multiplicity 4)
Cd1 0.000 0.500 0.000 (multiplicity 2)

## Properties
DOS at the Fermi energy in states/eV/atom: 1.551

***

Energies, relative to the best one, in kJ/mol of atoms: 1 12.0; 2 0.0.

***

1:
The following is a GGA-PBE calculation of a geometry-optimized YTm4Cd structure, from the Alexandria database.

a b c (Å): 10.394 5.987 11.619
angles (deg): 90.00 107.53 90.00
Space group C2/c (No. 15)
Inequivalent atoms, fractional coordinates:
Y1 0.250 0.250 0.000 (multiplicity 4)
Tm1 0.081 0.245 0.502 (multiplicity 8)
Tm2 0.165 0.412 0.250 (multiplicity 8)
Cd1 0.000 0.086 0.750 (multiplicity 4)

## Properties
DOS at the Fermi energy in states/eV/atom: 1.622

***

2:
The following is a GGA-PBE calculation of a geometry-optimized YTm4Cd structure, from the Alexandria database.

a b c (Å): 3.516 3.516 14.063
angles (deg): 90.00 90.00 90.00
Space group P4/mmm (No. 123)
Inequivalent atoms, fractional coordinates:
Y1 0.000 0.000 0.000 (multiplicity 1)
Tm1 0.000 0.000 0.352 (multiplicity 2)
Tm2 0.500 0.500 0.178 (multiplicity 2)
Cd1 0.500 0.500 0.500 (multiplicity 1)

## Properties
DOS at the Fermi energy in states/eV/atom: 1.449

***

Energies, relative to the best one, in kJ/mol of atoms: 1 6.8; 2 0.0.